No. 1
The following is a GGA-PBE calculation of an optimized crystal structure of Ho4Er5Ag, from the Alexandria database.

The energy of formation from the pure elements comes out at -0.41 eV per formula unit. As for the crystal system: tetragonal.

The structure belongs to space group P4/mmm (No. 123); the cell edges are 3.5112, 3.5112 and 23.8143 Å and the angles 90.00°, 90.00° and 90.00°. The inequivalent atoms are Ho at (0.0000, 0.0000, 0.1044), Ho at (0.0000, 0.0000, 0.3134), Er at (0.5000, 0.5000, 0.0000), Er at (0.5000, 0.5000, 0.2094), Er at (0.5000, 0.5000, 0.4198) and Ag at (0.0000, 0.0000, 0.5000).


No. 2
The following is a GGA-PBE calculation of an optimized crystal structure of YAsF2, from the Alexandria database.

For the uncorrected formation energy, the calculation gives -1951 meV per atom. The excess energy over the best structure of this formula in the dataset is 0.4208 eV per atom. As for the crystal system: trigonal.

The structure belongs to space group R-3m (No. 166, hexagonal axes); the cell edges are 3.2275, 3.2275 and 30.0353 Å and the angles 90.00°, 90.00° and 120.00°. The inequivalent atoms are Y at (0.0000, 0.0000, 0.0000), As at (0.0000, 0.0000, 0.5000) and F at (0.0000, 0.0000, 0.3782).


No. 3
The following is a GGA-PBE calculation of an optimized crystal structure of MnSb3Te, from the Alexandria database.

For the uncorrected formation energy, the calculation gives 1694 meV per atom. The excess energy over the best structure of this formula in the dataset is 1.4176 eV per atom. As for the crystal system: cubic.

The structure belongs to space group Pm-3m (No. 221); the cell edges are 5.6443, 5.6443 and 5.6443 Å and the angles 90.00°, 90.00° and 90.00°. The inequivalent atoms are Mn at (0.0000, 0.0000, 0.0000), Sb at (0.0000, 0.5000, 0.5000) and Te at (0.5000, 0.5000, 0.5000).


No. 4
The following is a GGA-PBE calculation of an optimized crystal structure of Sm2PtI2, from the Alexandria database.

For the uncorrected formation energy, the calculation gives -1264 meV per atom. As for the crystal system: monoclinic.

The structure belongs to space group C2/m (No. 12); the cell edges are 7.2663, 4.1940 and 12.4933 Å and the angles 90.00°, 102.37° and 90.00°. The inequivalent atoms are Sm at (0.2153, 0.0000, 0.1321), Pt at (0.0000, 0.5000, 0.0000) and I at (0.0522, 0.0000, 0.6897).


No. 5
The following is a GGA-PBE calculation of an optimized crystal structure of ScGaCoAg, from the Alexandria database.

The energy of formation from the pure elements comes out at -0.87 eV per formula unit. As for the crystal system: cubic.

The structure belongs to space group F-43m (No. 216); the cell edges are 6.3102, 6.3102 and 6.3102 Å and the angles 90.00°, 90.00° and 90.00°. The inequivalent atoms are Sc at (0.0000, 0.0000, 0.0000), Ga at (0.0000, 0.0000, 0.5000), Co at (0.2500, 0.2500, 0.2500) and Ag at (0.2500, 0.2500, 0.7500).


No. 6
The following is a GGA-PBE calculation of an optimized crystal structure of Tl6In2Ga, from the Alexandria database.

The energy of formation from the pure elements comes out at 0.81 eV per formula unit. As for the crystal system: monoclinic.

The structure belongs to space group C2/c (No. 15); the cell edges are 11.9663, 15.3666 and 8.5117 Å and the angles 90.00°, 133.82° and 90.00°. The inequivalent atoms are Tl at (0.1420, 0.1462, 0.0314), Tl at (0.1677, 0.1389, 0.5077), Tl at (0.1720, 0.4797, 0.0521), In at (0.0321, 0.3259, 0.4548) and Ga at (0.0000, 0.3188, 0.7500).


No. 7
The following is a GGA-PBE calculation of an optimized crystal structure of DyHoTl, from the Alexandria database.

The energy of formation from the pure elements comes out at -0.10 eV per formula unit. The excess energy over the best structure of this formula in the dataset is 0.2222 eV per atom. As for the crystal system: cubic.

The structure belongs to space group F-43m (No. 216); the cell edges are 7.3141, 7.3141 and 7.3141 Å and the angles 90.00°, 90.00° and 90.00°. The inequivalent atoms are Dy at (0.0000, 0.0000, 0.0000), Ho at (0.0000, 0.0000, 0.5000) and Tl at (0.2500, 0.2500, 0.7500).


No. 8
The following is a GGA-PBE calculation of an optimized crystal structure of KTaW2, from the Alexandria database.

The energy of formation from the pure elements comes out at 5.83 eV per formula unit. The excess energy over the best structure of this formula in the dataset is 0.7345 eV per atom. As for the crystal system: orthorhombic.

The structure belongs to space group Immm (No. 71); the cell edges are 2.6723, 5.4470 and 11.0650 Å and the angles 90.00°, 90.00° and 90.00°. The inequivalent atoms are K at (0.0000, 0.0000, 0.0000), Ta at (0.0000, 0.0000, 0.5000) and W at (0.0000, 0.5000, 0.2279).


No. 9
The following is a GGA-PBE calculation of an optimized crystal structure of PuAl2Ga2Cu2, from the Alexandria database.

The energy of formation from the pure elements comes out at -1.29 eV per formula unit. As for the crystal system: trigonal.

The structure belongs to space group R-3m (No. 166, hexagonal axes); the cell edges are 4.2245, 4.2245 and 23.5096 Å and the angles 90.00°, 90.00° and 120.00°. The inequivalent atoms are Pu at (0.0000, 0.0000, 0.0000), Al at (0.0000, 0.0000, 0.1357), Ga at (0.0000, 0.0000, 0.2579) and Cu at (0.0000, 0.0000, 0.4384).


No. 10
The following is a GGA-PBE calculation of an optimized crystal structure of RbHg4Au2, from the Alexandria database.

The energy of formation from the pure elements comes out at -0.94 eV per formula unit. The excess energy over the best structure of this formula in the dataset is 0.0000 eV per atom. As for the crystal system: orthorhombic.

The structure belongs to space group Pnma (No. 62); the cell edges are 19.4202, 5.0842 and 7.6978 Å and the angles 90.00°, 90.00° and 90.00°. The inequivalent atoms are Rb at (0.1428, 0.2500, 0.0198), Hg at (0.0356, 0.7500, 0.8477), Hg at (0.0657, 0.2500, 0.4759), Hg at (0.1815, 0.7500, 0.3227), Hg at (0.1858, 0.7500, 0.7246), Au at (0.0343, 0.7500, 0.2432) and Au at (0.2161, 0.2500, 0.5290).


No. 11
The following is a GGA-PBE calculation of an optimized crystal structure of AcLaHgBr, from the Alexandria database.

For the uncorrected formation energy, the calculation gives -699 meV per atom. As for the crystal system: cubic.

The structure belongs to space group F-43m (No. 216); the cell edges are 7.9363, 7.9363 and 7.9363 Å and the angles 90.00°, 90.00° and 90.00°. The inequivalent atoms are Ac at (0.0000, 0.0000, 0.0000), La at (0.0000, 0.0000, 0.5000), Hg at (0.2500, 0.2500, 0.7500) and Br at (0.2500, 0.2500, 0.2500).


No. 12
The following is a GGA-PBE calculation of an optimized crystal structure of PmAlRu, from the Alexandria database.

The energy of formation from the pure elements comes out at -1.15 eV per formula unit. The excess energy over the best structure of this formula in the dataset is 0.1331 eV per atom. As for the crystal system: tetragonal.

The structure belongs to space group I4mm (No. 107); the cell edges are 3.2891, 3.2891 and 11.0061 Å and the angles 90.00°, 90.00° and 90.00°. The inequivalent atoms are Pm at (0.0000, 0.0000, 0.0000), Al at (0.0000, 0.0000, 0.2811) and Ru at (0.0000, 0.0000, 0.6811).